5
Lattice="-3.034 -2.258 0.603 0.989 0.206 5.743 -3.418 4.705 0.420" Properties=species:S:1:pos:R:3 comment="Ba2RhIN (meta-GGA SCAN, single point on PBEsol structure)" vol_a3_per_cell=130 pbc="T T T"
I -2.732 1.326 3.383
Rh -1.517 -1.129 0.302
Ba -1.709 2.352 0.210
Ba 0.494 0.103 2.871
N 0.000 0.000 0.000

5
Lattice="-1.519 1.978 4.313 -4.574 0.594 -1.883 -1.737 -6.240 2.250" Properties=species:S:1:pos:R:3 comment="BaSbIN2 (meta-GGA SCAN, single point on PBEsol structure)" vol_a3_per_cell=170 pbc="T T T"
I -0.868 -3.120 1.125
Sb -3.915 -1.834 2.340
Ba 0.000 0.000 0.000
N -2.287 0.297 -0.942
N -0.759 0.989 2.156

5
Lattice="-0.386 2.732 3.700 -0.532 -3.715 2.687 6.592 -0.291 0.903" Properties=species:S:1:pos:R:3 comment="BaSiIN2 (meta-GGA SCAN, single point on PBEsol structure)" vol_a3_per_cell=142 pbc="T T T"
I 3.296 -0.145 0.451
Si 2.837 -0.637 3.645
Ba 0.000 0.000 0.000
N -0.266 -1.857 1.343
N -0.193 1.366 1.850

5
Lattice="-2.078 -0.157 2.888 -4.289 -2.859 -3.242 2.462 -5.370 1.480" Properties=species:S:1:pos:R:3 comment="BaSiI2N (meta-GGA SCAN, single point on PBEsol structure)" vol_a3_per_cell=132 pbc="T T T"
I 1.231 -2.685 0.740
I -2.144 -1.430 -1.621
Si 0.000 0.000 0.000
Ba -1.953 -4.193 0.562
N -1.039 -0.079 1.444

5
Lattice="-5.523 -1.174 -3.360 -1.036 -5.404 3.592 -3.469 3.615 4.438" Properties=species:S:1:pos:R:3 comment="BaNaPbI2 (meta-GGA SCAN, single point on PBEsol structure)" vol_a3_per_cell=289 pbc="T T T"
Pb -1.734 1.807 2.219
I -0.518 -2.702 1.796
I -2.762 -0.587 -1.680
Ba 0.000 0.000 0.000
Na -5.014 -1.482 2.335

5
Lattice="5.397 0.000 0.000 0.000 5.397 0.000 0.000 0.000 5.967" Properties=species:S:1:pos:R:3 comment="BaNaSb2I (meta-GGA SCAN, single point on PBEsol structure)" vol_a3_per_cell=174 pbc="T T T"
I 0.000 0.000 2.983
Sb 0.000 2.698 0.000
Sb 2.698 0.000 0.000
Ba 2.698 2.698 2.983
Na 0.000 0.000 0.000

5
Lattice="6.221 0.000 0.000 0.000 6.927 0.000 0.000 0.000 6.927" Properties=species:S:1:pos:R:3 comment="BaNa2SnI (meta-GGA SCAN, single point on PBEsol structure)" vol_a3_per_cell=298 pbc="T T T"
I 3.111 0.000 0.000
Na 0.000 0.000 3.463
Na 0.000 3.463 0.000
Ba 0.000 0.000 0.000
Sn 3.111 3.463 3.463

5
Lattice="-0.818 5.699 -0.349 -6.277 -1.050 -2.434 -2.468 0.035 6.351" Properties=species:S:1:pos:R:3 comment="BaNaSr2I (meta-GGA SCAN, single point on PBEsol structure)" vol_a3_per_cell=268 pbc="T T T"
I -0.409 2.849 -0.174
Sr -1.234 0.017 3.175
Sr -3.138 -0.525 -1.217
Ba -4.782 2.342 1.784
Na 0.000 0.000 0.000

5
Lattice="-4.901 3.848 -1.501 -4.026 -4.971 0.402 -0.952 1.289 6.412" Properties=species:S:1:pos:R:3 comment="BaNaTe2I (meta-GGA SCAN, single point on PBEsol structure)" vol_a3_per_cell=272 pbc="T T T"
I -0.476 0.644 3.206
Na -4.939 0.083 2.656
Te -2.013 -2.486 0.201
Te -2.451 1.924 -0.750
Ba 0.000 0.000 0.000

4
Lattice="4.961 0.000 0.000 2.481 4.297 0.000 2.481 1.432 4.051" Properties=species:S:1:pos:R:3 comment="BaNb2I (meta-GGA SCAN, single point on PBEsol structure)" vol_a3_per_cell=86 pbc="T T T"
I 0.000 0.000 0.000
Nb 2.481 1.432 1.013
Nb 7.442 4.297 3.038
Ba 4.961 2.864 2.025

5
Lattice="-2.832 4.255 -3.204 2.170 -2.392 -5.095 -4.984 -3.632 -0.418" Properties=species:S:1:pos:R:3 comment="BaNbSb2I (meta-GGA SCAN, single point on PBEsol structure)" vol_a3_per_cell=225 pbc="T T T"
I -2.492 -1.816 -0.209
Sb 1.085 -1.196 -2.547
Sb -1.416 2.127 -1.602
Nb -2.823 -0.885 -4.358
Ba 0.000 0.000 0.000

5
Lattice="6.335 0.000 0.000 0.000 6.335 0.000 0.000 0.000 6.534" Properties=species:S:1:pos:R:3 comment="BaNbTeI2 (meta-GGA SCAN, single point on PBEsol structure)" vol_a3_per_cell=262 pbc="T T T"
I 0.000 3.168 0.000
I 3.168 0.000 0.000
Nb 3.168 3.168 3.267
Te 0.000 0.000 3.267
Ba 0.000 0.000 0.000

Number 1: VASP energy -32.735 eV per atom. Number 2: VASP energy -25.108 eV per atom. Number 3: VASP energy -19.265 eV per atom. Number 4: VASP energy -26.930 eV per atom. Number 5: VASP energy -39.225 eV per atom. Number 6: VASP energy -31.349 eV per atom. Number 7: VASP energy -23.821 eV per atom. Number 8: VASP energy -25.037 eV per atom. Number 9: VASP energy -31.569 eV per atom. Number 10: VASP energy -34.373 eV per atom. Number 11: VASP energy -35.561 eV per atom. Number 12: VASP energy -36.393 eV per atom.